1.
A plane-wave DFT calculation with PBE was carried out for a geometry-optimized Y3Cu2Ni structure.

a = 11.403 Å, b = 4.260 Å, c = 10.736 Å
α = 90.00°, β = 90.00°, γ = 90.00°
Positions (direct):
Y 0.051 0.250 0.126
Y 0.112 0.750 0.562
Y 0.223 0.250 0.801
Y 0.277 0.750 0.301
Y 0.388 0.250 0.062
Y 0.449 0.750 0.626
Y 0.551 0.250 0.374
Y 0.612 0.750 0.938
Y 0.723 0.250 0.699
Y 0.777 0.750 0.199
Y 0.888 0.250 0.438
Y 0.949 0.750 0.874
Cu 0.019 0.750 0.308
Cu 0.199 0.750 0.008
Cu 0.301 0.250 0.508
Cu 0.481 0.250 0.808
Cu 0.519 0.750 0.192
Cu 0.699 0.750 0.492
Cu 0.801 0.250 0.992
Cu 0.981 0.250 0.692
Ni 0.126 0.250 0.374
Ni 0.374 0.750 0.874
Ni 0.626 0.250 0.126
Ni 0.874 0.750 0.626

Summary:
As for the volume: 21.7 Å³/atom. Its space group is Pnma, No. 62. Its formation energy from the elements is -0.2751 eV per atom. The value obtained for the total magnetic moment is 0.00 μB/f.u.

=====

2.
A plane-wave DFT calculation with PBE was carried out for a geometry-optimized YCu5Ni2 structure.

a = 5.900 Å, b = 5.900 Å, c = 5.900 Å
α = 143.15°, β = 105.98°, γ = 85.67°
Positions (direct):
Y 0.000 0.000 0.000
Cu 0.170 0.348 0.821
Cu 0.473 0.652 0.821
Cu 0.500 0.000 0.500
Cu 0.527 0.348 0.179
Cu 0.830 0.652 0.179
Ni 0.230 0.730 0.500
Ni 0.770 0.270 0.500

Summary:
As for the volume: 14.3 Å³/atom. Its space group is Immm, No. 71. Its formation energy from the elements is -0.0487 eV per atom. The value obtained for the total magnetic moment is 0.00 μB/f.u.

=====

3.
A plane-wave DFT calculation with PBE was carried out for a geometry-optimized YCu4Ni2 structure.

a = 5.069 Å, b = 5.069 Å, c = 4.854 Å
α = 118.45°, β = 118.45°, γ = 77.03°
Positions (direct):
Y 0.000 0.000 0.000
Cu 0.000 0.388 0.694
Cu 0.000 0.612 0.306
Cu 0.388 0.000 0.694
Cu 0.612 0.000 0.306
Ni 0.500 0.500 0.250
Ni 0.500 0.500 0.750

Summary:
As for the volume: 13.8 Å³/atom. Its space group is C2/m, No. 12. Its formation energy from the elements is -0.1669 eV per atom. The value obtained for the total magnetic moment is 0.00 μB/f.u.

=====

4.
A plane-wave DFT calculation with PBE was carried out for a geometry-optimized Y3Cu4Ni4 structure.

a = 6.251 Å, b = 6.251 Å, c = 6.251 Å
α = 109.47°, β = 109.47°, γ = 109.47°
Positions (direct):
Y 0.000 0.500 0.500
Y 0.500 0.000 0.500
Y 0.500 0.500 0.000
Cu 0.000 0.000 0.243
Cu 0.000 0.243 0.000
Cu 0.243 0.000 0.000
Cu 0.757 0.757 0.757
Ni 0.000 0.000 0.603
Ni 0.000 0.603 0.000
Ni 0.397 0.397 0.397
Ni 0.603 0.000 0.000

Summary:
As for the volume: 17.1 Å³/atom. Its space group is I-43m, No. 217. Its formation energy from the elements is -0.1219 eV per atom. The value obtained for the total magnetic moment is 0.00 μB/f.u.

=====

5.
A plane-wave DFT calculation with PBE was carried out for a geometry-optimized YCuNi2 structure.

a = 4.003 Å, b = 4.003 Å, c = 3.748 Å
α = 90.00°, β = 90.00°, γ = 90.00°
Positions (direct):
Y 0.000 0.000 0.000
Cu 0.500 0.500 0.000
Ni 0.000 0.500 0.500
Ni 0.500 0.000 0.500

Summary:
As for the volume: 15.0 Å³/atom. Its space group is P4/mmm, No. 123. Its formation energy from the elements is -0.1659 eV per atom. The value obtained for the total magnetic moment is 0.00 μB/f.u.

=====

6.
A plane-wave DFT calculation with PBE was carried out for a geometry-optimized YCu3Ni structure.

a = 6.482 Å, b = 6.482 Å, c = 4.871 Å
α = 90.00°, β = 90.00°, γ = 131.68°
Positions (direct):
Y 0.106 0.894 0.750
Y 0.894 0.106 0.250
Cu 0.119 0.415 0.750
Cu 0.314 0.686 0.250
Cu 0.415 0.119 0.250
Cu 0.585 0.881 0.750
Cu 0.686 0.314 0.750
Cu 0.881 0.585 0.250
Ni 0.500 0.500 0.000
Ni 0.500 0.500 0.500

Summary:
As for the volume: 15.3 Å³/atom. Its space group is Cmcm, No. 63. Its formation energy from the elements is -0.1686 eV per atom. The value obtained for the total magnetic moment is 0.00 μB/f.u.

=====

7.
A plane-wave DFT calculation with PBE was carried out for a geometry-optimized Y2CuNi2 structure.

a = 8.137 Å, b = 8.137 Å, c = 8.137 Å
α = 154.95°, β = 154.95°, γ = 35.72°
Positions (direct):
Y 0.111 0.111 0.000
Y 0.889 0.889 0.000
Cu 0.500 0.500 0.000
Ni 0.250 0.750 0.500
Ni 0.750 0.250 0.500

Summary:
As for the volume: 19.3 Å³/atom. Its space group is I4/mmm, No. 139. Its formation energy from the elements is -0.1329 eV per atom. The value obtained for the total magnetic moment is 0.00 μB/f.u.

=====

8.
A plane-wave DFT calculation with PBE was carried out for a geometry-optimized YCu6Ni4 structure.

a = 6.115 Å, b = 6.115 Å, c = 6.115 Å
α = 120.77°, β = 120.77°, γ = 88.68°
Positions (direct):
Y 0.000 0.000 0.000
Cu 0.000 0.500 0.500
Cu 0.254 0.557 0.000
Cu 0.443 0.443 0.697
Cu 0.500 0.000 0.500
Cu 0.557 0.254 0.000
Cu 0.746 0.746 0.303
Ni 0.102 0.102 0.559
Ni 0.456 0.898 0.000
Ni 0.544 0.544 0.441
Ni 0.898 0.456 0.000

Summary:
As for the volume: 14.5 Å³/atom. Its space group is I-42m, No. 121. Its formation energy from the elements is 0.2147 eV per atom. The value obtained for the total magnetic moment is 0.00 μB/f.u.